1.
Crystalline CdHg3 at its relaxed geometry. Source: Alexandria, functional GGA-PBEsol.

Computed properties:
Polymorph energy (0 for the lowest one) ... 27 meV/atom

a b c (Å): 5.0576 5.0576 5.0576
angles (deg): 60.00 60.00 60.00
With the nearest neighbours (Å) after each atom.
Sites, in units of the cell vectors:
Hg  0.2500  0.2500  0.2500  4 Hg 3.10, 4 Cd 3.10
Hg  0.5000  0.5000  0.5000  8 Hg 3.10
Hg  0.7500  0.7500  0.7500  4 Cd 3.10, 4 Hg 3.10
Cd  0.0000  0.0000  0.0000  8 Hg 3.10

2.
Crystalline Cd2Hg at its relaxed geometry. Source: Alexandria, functional GGA-PBEsol.

a b c (Å): 3.1868 4.3596 5.3289
angles (deg): 114.15 107.40 90.00
With the nearest neighbours (Å) after each atom.
Sites, in units of the cell vectors:
Hg  0.5000  0.5000  0.0000  10 Cd 3.06-3.11, 2 Hg 3.19
Cd  0.8325  0.8325  0.6650  5 Hg 3.06-3.11, 7 Cd 3.08-3.19
Cd  0.1675  0.1675  0.3350  5 Hg 3.06-3.11, 7 Cd 3.08-3.19

3.
Crystalline Cd5Hg at its relaxed geometry. Source: Alexandria, functional GGA-PBEsol.

a b c (Å): 5.7174 5.7174 5.7174
angles (deg): 60.00 60.00 60.00
With the nearest neighbours (Å) after each atom.
Sites, in units of the cell vectors:
Hg  0.0000  0.0000  0.0000  16 Cd 3.35-3.50
Cd  0.6249  0.1254  0.6249  6 Cd 2.86
Cd  0.2500  0.2500  0.2500  12 Cd 3.35, 4 Hg 3.50
Cd  0.6249  0.6249  0.6249  6 Cd 2.86
Cd  0.6249  0.6249  0.1254  6 Cd 2.86
Cd  0.1254  0.6249  0.6249  6 Cd 2.86

4.
Crystalline Cd3Hg at its relaxed geometry. Source: Alexandria, functional GGA-PBEsol.

a b c (Å): 3.0361 5.5615 5.0478
angles (deg): 90.00 90.00 90.00
With the nearest neighbours (Å) after each atom.
Sites, in units of the cell vectors:
Hg  0.0000  0.5000  0.3264  10 Cd 2.94-3.30, 2 Hg 3.04
Cd  0.0000  0.0000  0.0066  10 Cd 2.94-3.30, 2 Hg 3.22
Cd  0.5000  0.0000  0.5070  8 Cd 2.94-3.22, 4 Hg 3.30
Cd  0.5000  0.5000  0.8268  4 Hg 2.94-2.95, 8 Cd 3.04-3.30

5.
Crystalline CdHg5 at its relaxed geometry. Source: Alexandria, functional GGA-PBEsol.

a b c (Å): 3.0298 3.0298 15.0820
angles (deg): 90.00 90.00 90.00
With the nearest neighbours (Å) after each atom.
Sites, in units of the cell vectors:
Hg  0.0000  0.0000  0.6602  8 Hg 3.03-3.34, 4 Cd 3.23
Hg  0.5000  0.5000  0.8297  12 Hg 3.03-3.34
Hg  0.0000  0.0000  0.0000  12 Hg 3.03-3.34
Hg  0.5000  0.5000  0.1703  12 Hg 3.03-3.34
Hg  0.0000  0.0000  0.3398  8 Hg 3.03-3.34, 4 Cd 3.23
Cd  0.5000  0.5000  0.5000  4 Cd 3.03, 8 Hg 3.23

6.
Crystalline Cd13Hg at its relaxed geometry. Source: Alexandria, functional GGA-PBEsol.

a b c (Å): 9.6474 9.6474 9.6474
angles (deg): 60.00 60.00 60.00
With the nearest neighbours (Å) after each atom.
Sites, in units of the cell vectors:
Cd  0.4400  0.5600  0.8022  9 Cd 2.82-3.08
Cd  0.1978  0.8022  0.5600  9 Cd 2.82-3.08
Cd  0.8022  0.1978  0.4400  9 Cd 2.82-3.08
Cd  0.5600  0.4400  0.1978  9 Cd 2.82-3.08
Cd  0.1978  0.4400  0.8022  9 Cd 2.82-3.08
Cd  0.4400  0.1978  0.5600  9 Cd 2.82-3.08
Cd  0.5600  0.8022  0.4400  9 Cd 2.82-3.08
Cd  0.8022  0.5600  0.1978  9 Cd 2.82-3.08
Cd  0.5600  0.1978  0.8022  9 Cd 2.82-3.08
Cd  0.8022  0.4400  0.5600  9 Cd 2.82-3.08
Cd  0.1978  0.5600  0.4400  9 Cd 2.82-3.08
Cd  0.4400  0.8022  0.1978  9 Cd 2.82-3.08
Cd  0.0600  0.6978  0.9400  9 Cd 2.82-3.08
Cd  0.3022  0.9400  0.6978  9 Cd 2.82-3.08
Cd  0.6978  0.0600  0.3022  9 Cd 2.82-3.08
Cd  0.9400  0.3022  0.0600  9 Cd 2.82-3.08
Cd  0.3022  0.6978  0.0600  9 Cd 2.82-3.08
Cd  0.0600  0.9400  0.3022  9 Cd 2.82-3.08
Cd  0.9400  0.0600  0.6978  9 Cd 2.82-3.08
Cd  0.6978  0.3022  0.9400  9 Cd 2.82-3.08
Cd  0.9400  0.6978  0.3022  9 Cd 2.82-3.08
Cd  0.6978  0.9400  0.0600  9 Cd 2.82-3.08
Cd  0.3022  0.0600  0.9400  9 Cd 2.82-3.08
Cd  0.0600  0.3022  0.6978  9 Cd 2.82-3.08
Cd  0.5000  0.5000  0.5000  12 Cd 2.97
Cd  0.0000  0.0000  0.0000  12 Cd 2.97
Hg  0.2500  0.2500  0.2500  24 Cd 3.95
Hg  0.7500  0.7500  0.7500  24 Cd 3.95

7.
Crystalline Cd3Hg at its relaxed geometry. Source: Alexandria, functional GGA-PBEsol.

a b c (Å): 3.3564 5.5964 5.5964
angles (deg): 116.11 101.53 101.53
With the nearest neighbours (Å) after each atom.
Sites, in units of the cell vectors:
Hg  0.0000  0.0000  0.0000  6 Cd 2.96
Cd  0.5000  0.5000  0.0000  4 Cd 2.96, 2 Hg 2.96
Cd  0.0000  0.5000  0.5000  4 Cd 2.96, 2 Hg 2.96
Cd  0.5000  0.0000  0.5000  2 Hg 2.96, 4 Cd 2.96

8.
Crystalline Cd5Hg at its relaxed geometry. Source: Alexandria, functional GGA-PBEsol.

a b c (Å): 3.1148 3.1148 13.0208
angles (deg): 90.00 90.00 90.00
With the nearest neighbours (Å) after each atom.
Sites, in units of the cell vectors:
Hg  0.5000  0.5000  0.5000  4 Hg 3.11, 8 Cd 3.12
Cd  0.0000  0.0000  0.6695  8 Cd 3.08-3.11, 4 Hg 3.12
Cd  0.5000  0.5000  0.8351  12 Cd 3.08-3.11
Cd  0.0000  0.0000  0.0000  12 Cd 3.08-3.11
Cd  0.5000  0.5000  0.1649  12 Cd 3.08-3.11
Cd  0.0000  0.0000  0.3305  8 Cd 3.08-3.11, 4 Hg 3.12

Number 1: uncorrected energy -2.800 eV per cell, energy of formation 0.02 eV/atom. Number 2: uncorrected energy -2.966 eV per cell, energy of formation 0.00 eV/atom. Number 3: uncorrected energy -5.981 eV per cell, energy of formation 0.10 eV/atom. Number 4: uncorrected energy -4.159 eV per cell, energy of formation 0.00 eV/atom. Number 5: uncorrected energy -3.896 eV per cell, energy of formation 0.02 eV/atom. Number 6: uncorrected energy -30.822 eV per cell, energy of formation 0.05 eV/atom. Number 7: uncorrected energy -3.968 eV per cell, energy of formation 0.05 eV/atom. Number 8: uncorrected energy -6.509 eV per cell, energy of formation 0.01 eV/atom.